# 1
# Ba3Zr2S7 | the Alexandria database | PBEsol | optimized geometry
data_Ba3Zr2S7
_chemical_formula_sum 'Ba6 Zr4 S14'
_cell_length_a 4.962
_cell_length_b 4.962
_cell_length_c 25.434
_cell_angle_alpha 90.00
_cell_angle_beta 90.00
_cell_angle_gamma 90.00
_space_group_name_H-M_alt 'I 4/m m m'
_space_group_IT_number 139
_space_group_name_Hall '-I 4 2'
loop_
_atom_site_label
_atom_site_fract_x
_atom_site_fract_y
_atom_site_fract_z
Ba1 0.000 0.000 0.000
Ba2 0.000 0.000 0.181
Zr1 0.000 0.000 0.400
S1 0.000 0.000 0.301
S2 0.000 0.000 0.500
S3 0.000 0.500 0.096
# Energy relative to the elements, uncorrected ... -1.904 eV per atom
# Uncorrected energy ... -6.5139 eV/atom
# Excess energy over the best structure of this formula in the dataset ... 8 meV per atom
# Crystal system ... tetragonal
# Spin magnetization ... 0.00 μB/f.u.



# 2
# MgMnZn2 | the Alexandria database | PBEsol | optimized geometry
data_MgMnZn2
_chemical_formula_sum 'Mg1 Mn1 Zn2'
_cell_length_a 2.849
_cell_length_b 2.849
_cell_length_c 7.342
_cell_angle_alpha 90.00
_cell_angle_beta 90.00
_cell_angle_gamma 90.00
_space_group_name_H-M_alt 'P 4 m m'
_space_group_IT_number 99
loop_
_space_group_symop_operation_xyz
'x,y,z'
'-y,x,z'
'-x,-y,z'
'y,-x,z'
'-x,y,z'
'y,x,z'
'x,-y,z'
'-y,-x,z'
loop_
_atom_site_label
_atom_site_fract_x
_atom_site_fract_y
_atom_site_fract_z
Mg1 0.000 0.000 0.000
Mn1 0.500 0.500 0.268
Zn1 0.000 0.000 0.487
Zn2 0.500 0.500 0.720
# Uncorrected energy ... -3.5401 eV/atom
# Crystal system ... tetragonal
# Spin magnetization ... 2.93 μB/f.u.



# 3
# Tl2ReAg | the Alexandria database | PBEsol | optimized geometry
data_Tl2ReAg
_chemical_formula_sum 'Tl4 Re2 Ag2'
_cell_length_a 4.001
_cell_length_b 4.001
_cell_length_c 9.548
_cell_angle_alpha 90.00
_cell_angle_beta 90.00
_cell_angle_gamma 90.00
_space_group_name_H-M_alt 'I -4 m 2'
_space_group_IT_number 119
_space_group_name_Hall 'I -4 -2'
loop_
_atom_site_label
_atom_site_fract_x
_atom_site_fract_y
_atom_site_fract_z
Tl1 0.000 0.000 0.000
Tl2 0.000 0.500 0.250
Re1 0.000 0.500 0.750
Ag1 0.000 0.000 0.500
# Uncorrected energy ... -4.5905 eV/atom
# Crystal system ... tetragonal
# Spin magnetization ... 0.99 μB/f.u.



# 4
# Li2Ni | the Alexandria database | PBEsol | optimized geometry
data_Li2Ni
_chemical_formula_sum 'Li8 Ni4'
_cell_length_a 6.073
_cell_length_b 6.073
_cell_length_c 4.604
_cell_angle_alpha 90.00
_cell_angle_beta 90.00
_cell_angle_gamma 90.00
_space_group_name_H-M_alt 'I 4/m c m'
_space_group_IT_number 140
_space_group_name_Hall '-I 4 2c'
loop_
_atom_site_label
_atom_site_fract_x
_atom_site_fract_y
_atom_site_fract_z
Li1 0.169 0.331 0.000
Ni1 0.000 0.000 0.250
# Uncorrected energy ... -3.2735 eV/atom
# Crystal system ... tetragonal
# Spin magnetization ... 0.20 μB/f.u.



# 5
# HPt2Se | the Alexandria database | PBEsol | optimized geometry
data_HPt2Se
_chemical_formula_sum 'H4 Pt8 Se4'
_cell_length_a 5.993
_cell_length_b 5.993
_cell_length_c 5.993
_cell_angle_alpha 90.00
_cell_angle_beta 90.00
_cell_angle_gamma 90.00
_space_group_name_H-M_alt 'F m -3 m'
_space_group_IT_number 225
_space_group_name_Hall '-F 4 2 3'
loop_
_atom_site_label
_atom_site_fract_x
_atom_site_fract_y
_atom_site_fract_z
H1 0.000 0.000 0.000
Pt1 0.250 0.250 0.250
Se1 0.000 0.000 0.500
# Uncorrected energy ... -4.6643 eV/atom
# Crystal system ... cubic
# Spin magnetization ... 0.00 μB/f.u.



# 6
# B7H10 | the Alexandria database | PBEsol | optimized geometry
data_B7H10
_chemical_formula_sum 'B56 H80'
_cell_length_a 8.809
_cell_length_b 9.825
_cell_length_c 12.684
_cell_angle_alpha 90.00
_cell_angle_beta 90.00
_cell_angle_gamma 90.00
_space_group_name_H-M_alt 'P 21 21 21'
_space_group_IT_number 19
loop_
_space_group_symop_operation_xyz
'x,y,z'
'-x+1/2,-y,z+1/2'
'x+1/2,-y+1/2,-z'
'-x,y+1/2,-z+1/2'
loop_
_atom_site_label
_atom_site_fract_x
_atom_site_fract_y
_atom_site_fract_z
B1 0.019 0.163 0.130
B2 0.035 0.080 0.010
B3 0.040 0.188 0.620
B4 0.041 0.022 0.556
B5 0.054 0.501 0.383
B6 0.058 0.036 0.230
B7 0.060 0.037 0.693
B8 0.121 0.170 0.497
B9 0.136 0.888 0.640
B10 0.189 0.170 0.717
B11 0.193 0.160 0.197
B12 0.197 0.170 0.059
B13 0.216 0.260 0.596
B14 0.231 0.987 0.752
H1 0.011 0.947 0.030
H2 0.012 0.531 0.189
H3 0.025 0.921 0.181
H4 0.026 0.603 0.572
H5 0.047 0.518 0.750
H6 0.048 0.797 0.657
H7 0.062 0.759 0.358
H8 0.068 0.478 0.989
H9 0.071 0.756 0.867
H10 0.083 0.218 0.415
H11 0.146 0.038 0.482
H12 0.183 0.064 0.995
H13 0.184 0.465 0.383
H14 0.188 0.807 0.158
H15 0.197 0.244 0.792
H16 0.202 0.964 0.844
H17 0.208 0.259 0.252
H18 0.229 0.265 0.005
H19 0.230 0.800 0.008
H20 0.249 0.623 0.090
# Uncorrected energy ... -4.8598 eV/atom
# Crystal system ... orthorhombic
# Spin magnetization ... 0.00 μB/f.u.



# 7
# CaTlW | the Alexandria database | PBEsol | optimized geometry
data_CaTlW
_chemical_formula_sum 'Ca1 Tl1 W1'
_cell_length_a 3.1269
_cell_length_b 3.1269
_cell_length_c 7.5811
_cell_angle_alpha 90.00
_cell_angle_beta 90.00
_cell_angle_gamma 120.00
_space_group_name_H-M_alt 'P 3 m 1'
_space_group_IT_number 156
loop_
_space_group_symop_operation_xyz
'x,y,z'
'-y,x-y,z'
'-x+y,-x,z'
'-y,-x,z'
'-x+y,y,z'
'x,x-y,z'
loop_
_atom_site_label
_atom_site_fract_x
_atom_site_fract_y
_atom_site_fract_z
Ca1 0.0000 0.0000 0.0000
Tl1 0.3333 0.6667 0.6378
W1 0.6667 0.3333 0.3262
# Uncorrected energy ... -5.4396 eV/atom
# Crystal system ... trigonal
# Spin magnetization ... 0.00 μB/f.u.



# 8
# MgSc2Be | the Alexandria database | PBEsol | optimized geometry
data_MgSc2Be
_chemical_formula_sum 'Mg3 Sc6 Be3'
_cell_length_a 3.1092
_cell_length_b 3.1092
_cell_length_c 30.0565
_cell_angle_alpha 90.00
_cell_angle_beta 90.00
_cell_angle_gamma 120.00
_space_group_name_H-M_alt 'R -3 m'
_space_group_IT_number 166
_space_group_name_Hall '-R 3 2"'
loop_
_atom_site_label
_atom_site_fract_x
_atom_site_fract_y
_atom_site_fract_z
Mg1 0.0000 0.0000 0.0000
Sc1 0.0000 0.0000 0.1034
Be1 0.0000 0.0000 0.5000
# Uncorrected energy ... -4.4189 eV/atom
# Excess energy over the best structure of this formula in the dataset ... 367 meV per atom
# Crystal system ... trigonal
# Spin magnetization ... 0.00 μB/f.u.



The highest uncorrected energy belongs to which entry? Li2Ni